# NbHgBi

A geometry-optimized NbHgBi structure (GGA-PBEsol, Alexandria).

abc: 3.502 3.502 12.021
angles: 90.00 90.00 90.00
Fractional coordinates of all 6 atoms:
1 Nb 0.250 0.250 0.058
2 Nb 0.750 0.750 0.942
3 Hg 0.250 0.250 0.414
4 Hg 0.750 0.750 0.586
5 Bi 0.250 0.250 0.799
6 Bi 0.750 0.750 0.201

## Properties
As for the crystal system: tetragonal. As for the symmetry: P4/nmm. As for the energy relative to the elements: -0.0051 eV per atom.

# TiNb2HgBi

A geometry-optimized TiNb2HgBi structure (GGA-PBEsol, Alexandria).

abc: 5.033 5.033 5.430
angles: 90.00 90.00 90.00
Fractional coordinates of all 5 atoms:
1 Ti 0.000 0.000 0.000
2 Nb 0.000 0.500 0.500
3 Nb 0.500 0.000 0.500
4 Hg 0.500 0.500 0.500
5 Bi 0.500 0.500 0.000

## Properties
As for the crystal system: tetragonal. As for the symmetry: P4/mmm. As for the energy relative to the elements: 1.8480 eV per atom.

# Hg3BiO

A geometry-optimized Hg3BiO structure (GGA-PBEsol, Alexandria).

abc: 5.827 5.827 5.827
angles: 90.00 90.00 90.00
Fractional coordinates of all 5 atoms:
1 Hg 0.000 0.000 0.500
2 Hg 0.000 0.500 0.000
3 Hg 0.500 0.000 0.000
4 Bi 0.000 0.000 0.000
5 O 0.500 0.500 0.500

## Properties
As for the formation energy (no corrections): 0.7388 eV per atom. Its energy above the most stable polymorph in this dataset is 0.5354 eV per atom. As for the crystal system: cubic. As for the symmetry: Pm-3m.

# HgBiO2

A geometry-optimized HgBiO2 structure (GGA-PBEsol, Alexandria).

abc: 7.185 7.185 7.185
angles: 28.91 28.91 28.91
Fractional coordinates of all 4 atoms:
1 Hg 0.000 0.000 0.000
2 Bi 0.500 0.500 0.500
3 O 0.108 0.108 0.108
4 O 0.892 0.892 0.892

## Properties
As for the formation energy (no corrections): -0.6011 eV per atom. As for the crystal system: trigonal. As for the symmetry: R-3m.

# Hg3BiO

A geometry-optimized Hg3BiO structure (GGA-PBEsol, Alexandria).

abc: 4.784 4.784 4.784
angles: 90.00 90.00 90.00
Fractional coordinates of all 5 atoms:
1 Hg 0.000 0.000 0.500
2 Hg 0.000 0.500 0.000
3 Hg 0.500 0.000 0.000
4 Bi 0.500 0.500 0.500
5 O 0.000 0.000 0.000

## Properties
As for the formation energy (no corrections): 0.2034 eV per atom. Its energy above the most stable polymorph in this dataset is 0.0000 eV per atom. As for the crystal system: cubic. As for the symmetry: Pm-3m.

# HgBi2O6

A geometry-optimized HgBi2O6 structure (GGA-PBEsol, Alexandria).

abc: 4.993 4.993 10.422
angles: 90.00 90.00 90.00
Fractional coordinates of all 18 atoms:
1 Hg 0.000 0.000 0.000
2 Hg 0.500 0.500 0.500
3 Bi 0.000 0.000 0.332
4 Bi 0.000 0.000 0.668
5 Bi 0.500 0.500 0.168
6 Bi 0.500 0.500 0.832
7 O 0.187 0.187 0.500
8 O 0.198 0.198 0.175
9 O 0.198 0.198 0.825
10 O 0.302 0.698 0.325
11 O 0.302 0.698 0.675
12 O 0.313 0.687 0.000
13 O 0.687 0.313 0.000
14 O 0.698 0.302 0.325
15 O 0.698 0.302 0.675
16 O 0.802 0.802 0.175
17 O 0.802 0.802 0.825
18 O 0.813 0.813 0.500

## Properties
As for the formation energy (no corrections): -0.6605 eV per atom. As for the crystal system: tetragonal. As for the symmetry: P4_2/mnm.

# HgBiO3

A geometry-optimized HgBiO3 structure (GGA-PBEsol, Alexandria).

abc: 6.030 6.030 6.030
angles: 58.15 58.15 58.15
Fractional coordinates of all 10 atoms:
1 Hg 0.250 0.250 0.250
2 Hg 0.750 0.750 0.750
3 Bi 0.000 0.000 0.000
4 Bi 0.500 0.500 0.500
5 O 0.126 0.750 0.374
6 O 0.250 0.626 0.874
7 O 0.374 0.126 0.750
8 O 0.626 0.874 0.250
9 O 0.750 0.374 0.126
10 O 0.874 0.250 0.626

## Properties
As for the formation energy (no corrections): -0.6973 eV per atom. As for the crystal system: trigonal. As for the symmetry: R-3c.

# HgBiPO2

A geometry-optimized HgBiPO2 structure (GGA-PBEsol, Alexandria).

abc: 4.181 4.181 4.941
angles: 90.00 90.00 90.00
Fractional coordinates of all 5 atoms:
1 Hg 0.000 0.000 0.000
2 Bi 0.500 0.500 0.500
3 P 0.000 0.000 0.500
4 O 0.000 0.500 0.000
5 O 0.500 0.000 0.000

## Properties
As for the formation energy (no corrections): 0.3490 eV per atom. As for the crystal system: tetragonal. As for the symmetry: P4/mmm.

# HgBiP3

A geometry-optimized HgBiP3 structure (GGA-PBEsol, Alexandria).

abc: 4.901 4.901 4.901
angles: 90.00 90.00 90.00
Fractional coordinates of all 5 atoms:
1 Hg 0.000 0.000 0.000
2 Bi 0.500 0.500 0.500
3 P 0.000 0.000 0.500
4 P 0.000 0.500 0.000
5 P 0.500 0.000 0.000

## Properties
As for the crystal system: cubic. As for the symmetry: Pm-3m. As for the energy relative to the elements: 1.1016 eV per atom.

# HgBi2Pb

A geometry-optimized HgBi2Pb structure (GGA-PBEsol, Alexandria).

abc: 5.437 5.437 5.437
angles: 60.00 60.00 60.00
Fractional coordinates of all 4 atoms:
1 Hg 0.000 0.000 0.000
2 Bi 0.250 0.250 0.250
3 Bi 0.750 0.750 0.750
4 Pb 0.500 0.500 0.500

## Properties
As for the crystal system: cubic. As for the symmetry: Fm-3m. As for the energy relative to the elements: 0.0576 eV per atom.

# Hg2BiPtPb

A geometry-optimized Hg2BiPtPb structure (GGA-PBEsol, Alexandria).

abc: 5.163 5.163 5.294
angles: 90.00 90.00 90.00
Fractional coordinates of all 5 atoms:
1 Hg 0.000 0.500 0.000
2 Hg 0.500 0.000 0.000
3 Bi 0.000 0.000 0.500
4 Pt 0.500 0.500 0.000
5 Pb 0.500 0.500 0.500

## Properties
As for the crystal system: tetragonal. As for the symmetry: P4/mmm. As for the energy relative to the elements: 0.1920 eV per atom.

# HgBi2Pd2

A geometry-optimized HgBi2Pd2 structure (GGA-PBEsol, Alexandria).

abc: 7.334 7.334 3.971
angles: 90.00 90.00 90.00
Fractional coordinates of all 10 atoms:
1 Hg 0.000 0.000 0.000
2 Hg 0.500 0.500 0.000
3 Bi 0.162 0.338 0.500
4 Bi 0.338 0.838 0.500
5 Bi 0.662 0.162 0.500
6 Bi 0.838 0.662 0.500
7 Pd 0.136 0.636 0.000
8 Pd 0.364 0.136 0.000
9 Pd 0.636 0.864 0.000
10 Pd 0.864 0.364 0.000

## Properties
Its energy above the most stable polymorph in this dataset is 0.0000 eV per atom. As for the crystal system: tetragonal. As for the symmetry: P4/mbm. As for the energy relative to the elements: -0.2025 eV per atom.

# HgBi2Pd2

A geometry-optimized HgBi2Pd2 structure (GGA-PBEsol, Alexandria).

abc: 8.144 8.144 8.144
angles: 152.29 152.29 39.59
Fractional coordinates of all 5 atoms:
1 Hg 0.000 0.000 0.000
2 Bi 0.378 0.378 0.000
3 Bi 0.622 0.622 0.000
4 Pd 0.250 0.750 0.500
5 Pd 0.750 0.250 0.500

## Properties
Its energy above the most stable polymorph in this dataset is 0.1124 eV per atom. As for the crystal system: tetragonal. As for the symmetry: I4/mmm. As for the energy relative to the elements: -0.0901 eV per atom.

# HgBiPd2

A geometry-optimized HgBiPd2 structure (GGA-PBEsol, Alexandria).

abc: 4.723 4.723 4.723
angles: 60.00 60.00 60.00
Fractional coordinates of all 4 atoms:
1 Hg 0.000 0.000 0.000
2 Bi 0.500 0.500 0.500
3 Pd 0.250 0.250 0.250
4 Pd 0.750 0.750 0.750

## Properties
As for the crystal system: cubic. As for the symmetry: Fm-3m. As for the energy relative to the elements: -0.1937 eV per atom.

# TiHgBi2Pd

A geometry-optimized TiHgBi2Pd structure (GGA-PBEsol, Alexandria).

abc: 5.290 5.290 4.862
angles: 90.00 90.00 90.00
Fractional coordinates of all 5 atoms:
1 Ti 0.000 0.000 0.000
2 Hg 0.500 0.500 0.000
3 Bi 0.000 0.500 0.500
4 Bi 0.500 0.000 0.500
5 Pd 0.000 0.000 0.500

## Properties
As for the crystal system: tetragonal. As for the symmetry: P4/mmm. As for the energy relative to the elements: 0.4573 eV per atom.

# ZrHg2BiPd

A geometry-optimized ZrHg2BiPd structure (GGA-PBEsol, Alexandria).

abc: 5.000 5.000 5.157
angles: 90.00 90.00 90.00
Fractional coordinates of all 5 atoms:
1 Zr 0.000 0.000 0.000
2 Hg 0.000 0.500 0.500
3 Hg 0.500 0.000 0.500
4 Bi 0.500 0.500 0.000
5 Pd 0.500 0.500 0.500

## Properties
As for the crystal system: tetragonal. As for the symmetry: P4/mmm. As for the energy relative to the elements: 0.4569 eV per atom.

# HgBi2Pt2

A geometry-optimized HgBi2Pt2 structure (GGA-PBEsol, Alexandria).

abc: 5.543 5.543 5.543
angles: 121.29 121.29 87.79
Fractional coordinates of all 5 atoms:
1 Hg 0.000 0.000 0.000
2 Bi 0.250 0.750 0.500
3 Bi 0.750 0.250 0.500
4 Pt 0.343 0.343 0.000
5 Pt 0.657 0.657 0.000

## Properties
As for the crystal system: tetragonal. As for the symmetry: I4/mmm. As for the energy relative to the elements: -0.0133 eV per atom.

# RbHgBi3

A geometry-optimized RbHgBi3 structure (GGA-PBEsol, Alexandria).

abc: 6.037 6.037 6.037
angles: 90.00 90.00 90.00
Fractional coordinates of all 5 atoms:
1 Rb 0.000 0.000 0.000
2 Hg 0.500 0.500 0.500
3 Bi 0.000 0.000 0.500
4 Bi 0.000 0.500 0.000
5 Bi 0.500 0.000 0.000

## Properties
Its energy above the most stable polymorph in this dataset is 1.0141 eV per atom. As for the crystal system: cubic. As for the symmetry: Pm-3m. As for the energy relative to the elements: 1.2458 eV per atom.

# Rb2Hg2Bi

A geometry-optimized Rb2Hg2Bi structure (GGA-PBEsol, Alexandria).

abc: 8.043 8.043 5.500
angles: 90.00 90.00 90.00
Fractional coordinates of all 10 atoms:
1 Rb 0.179 0.321 0.000
2 Rb 0.321 0.821 0.000
3 Rb 0.679 0.179 0.000
4 Rb 0.821 0.679 0.000
5 Hg 0.130 0.630 0.500
6 Hg 0.370 0.130 0.500
7 Hg 0.630 0.870 0.500
8 Hg 0.870 0.370 0.500
9 Bi 0.000 0.000 0.500
10 Bi 0.500 0.500 0.500

## Properties
Its energy above the most stable polymorph in this dataset is 0.0000 eV per atom. As for the crystal system: tetragonal. As for the symmetry: P4/mbm. As for the energy relative to the elements: -0.2475 eV per atom.

# Rb2Hg2Bi

A geometry-optimized Rb2Hg2Bi structure (GGA-PBEsol, Alexandria).

abc: 6.529 6.529 6.529
angles: 116.61 116.61 95.97
Fractional coordinates of all 5 atoms:
1 Rb 0.250 0.750 0.500
2 Rb 0.750 0.250 0.500
3 Hg 0.162 0.162 0.000
4 Hg 0.838 0.838 0.000
5 Bi 0.500 0.500 0.000

## Properties
Its energy above the most stable polymorph in this dataset is 0.0504 eV per atom. As for the crystal system: tetragonal. As for the symmetry: I4/mmm. As for the energy relative to the elements: -0.1971 eV per atom.

# RbHgBi3

A geometry-optimized RbHgBi3 structure (GGA-PBEsol, Alexandria).

abc: 5.764 5.764 5.764
angles: 90.00 90.00 90.00
Fractional coordinates of all 5 atoms:
1 Rb 0.000 0.000 0.000
2 Hg 0.500 0.500 0.500
3 Bi 0.000 0.500 0.500
4 Bi 0.500 0.000 0.500
5 Bi 0.500 0.500 0.000

## Properties
Its energy above the most stable polymorph in this dataset is 0.0000 eV per atom. As for the crystal system: cubic. As for the symmetry: Pm-3m. As for the energy relative to the elements: 0.2317 eV per atom.

# Re2HgBi

A geometry-optimized Re2HgBi structure (GGA-PBEsol, Alexandria).

abc: 4.649 4.649 4.649
angles: 60.00 60.00 60.00
Fractional coordinates of all 4 atoms:
1 Re 0.250 0.250 0.250
2 Re 0.750 0.750 0.750
3 Hg 0.000 0.000 0.000
4 Bi 0.500 0.500 0.500

## Properties
As for the crystal system: cubic. As for the symmetry: Fm-3m. As for the energy relative to the elements: 1.2081 eV per atom.

# HgBi2Rh2

A geometry-optimized HgBi2Rh2 structure (GGA-PBEsol, Alexandria).

abc: 8.301 8.301 8.301
angles: 152.42 152.42 39.41
Fractional coordinates of all 5 atoms:
1 Hg 0.000 0.000 0.000
2 Bi 0.365 0.365 0.000
3 Bi 0.635 0.635 0.000
4 Rh 0.250 0.750 0.500
5 Rh 0.750 0.250 0.500

## Properties
As for the crystal system: tetragonal. As for the symmetry: I4/mmm. As for the energy relative to the elements: 0.0035 eV per atom.

# Hg2BiRuS

A geometry-optimized Hg2BiRuS structure (GGA-PBEsol, Alexandria).

abc: 5.550 5.550 5.177
angles: 90.00 90.00 90.00
Fractional coordinates of all 5 atoms:
1 Hg 0.000 0.500 0.000
2 Hg 0.500 0.000 0.000
3 Bi 0.000 0.000 0.000
4 Ru 0.500 0.500 0.500
5 S 0.000 0.000 0.500

## Properties
As for the formation energy (no corrections): 1.4949 eV per atom. As for the crystal system: tetragonal. As for the symmetry: P4/mmm.

# HgBi2S4

A geometry-optimized HgBi2S4 structure (GGA-PBEsol, Alexandria).

abc: 7.316 7.316 13.964
angles: 117.69 117.69 31.88
Fractional coordinates of all 14 atoms:
1 Hg 0.000 0.000 0.000
2 Hg 0.000 0.000 0.500
3 Bi 0.219 0.219 0.865
4 Bi 0.348 0.348 0.642
5 Bi 0.652 0.652 0.358
6 Bi 0.781 0.781 0.135
7 S 0.002 0.002 0.671
8 S 0.157 0.157 0.175
9 S 0.312 0.312 0.438
10 S 0.377 0.377 0.075
11 S 0.623 0.623 0.925
12 S 0.688 0.688 0.562
13 S 0.843 0.843 0.825
14 S 0.998 0.998 0.329

## Properties
As for the formation energy (no corrections): -0.3357 eV per atom. As for the crystal system: monoclinic. As for the symmetry: C2/m.

# HgBi2S

A geometry-optimized HgBi2S structure (GGA-PBEsol, Alexandria).

abc: 5.150 5.150 5.150
angles: 60.00 60.00 60.00
Fractional coordinates of all 4 atoms:
1 Hg 0.000 0.000 0.000
2 Bi 0.250 0.250 0.250
3 Bi 0.750 0.750 0.750
4 S 0.500 0.500 0.500

## Properties
As for the formation energy (no corrections): 0.0841 eV per atom. As for the crystal system: cubic. As for the symmetry: Fm-3m.

# HgBiS2

A geometry-optimized HgBiS2 structure (GGA-PBEsol, Alexandria).

abc: 8.634 8.634 8.634
angles: 24.99 24.99 24.99
Fractional coordinates of all 4 atoms:
1 Hg 0.000 0.000 0.000
2 Bi 0.500 0.500 0.500
3 S 0.393 0.393 0.393
4 S 0.607 0.607 0.607

## Properties
As for the formation energy (no corrections): 0.1029 eV per atom. As for the crystal system: trigonal. As for the symmetry: R-3m.

no.,total magnetic moment (Bohr magnetons per cell),DFT total energy (eV/atom)
1,0.0,-5.230
2,0.6,-5.115
3,1.5,-1.508
4,0.0,-4.439
5,0.0,-2.044
6,0.0,-5.175
7,0.0,-4.817
8,0.0,-3.879
9,0.0,-3.344
10,0.0,-3.227
11,0.0,-3.084
12,0.0,-4.413
13,0.0,-4.301
14,0.0,-4.386
15,1.6,-4.226
16,0.1,-3.637
17,0.0,-4.626
18,0.0,-1.644
19,0.0,-1.741
20,0.0,-1.691
21,0.0,-2.658
22,0.0,-6.671
23,0.0,-5.079
24,3.1,-2.500
25,0.0,-4.146
26,0.0,-3.296
27,0.0,-3.302